## Al3Co (PBE-GGA)

Data for crystalline Al3Co at its relaxed geometry.

Lattice parameters (Å, degrees): 4.896 4.896 4.896 116.53 116.53 116.53
Fractional positions:
Al 0.000 0.500 0.500
Al 0.500 0.000 0.500
Al 0.500 0.500 0.000
Co 0.000 0.000 0.000

Computed properties:
Energy relative to the elements (eV per atom): -0.07
Calculated volume (A^3/atom): 13.9


## Sm3ZnGa2Au6 (PBE-GGA)

Data for crystalline Sm3ZnGa2Au6 at its relaxed geometry.

Lattice parameters (Å, degrees): 6.083 6.083 8.399 90.00 90.00 120.00
Fractional positions:
Sm 0.000 0.000 0.000
Sm 0.333 0.667 0.628
Sm 0.667 0.333 0.372
Zn 0.000 0.000 0.500
Ga 0.333 0.667 0.010
Ga 0.667 0.333 0.990
Au 0.177 0.353 0.279
Au 0.177 0.823 0.279
Au 0.353 0.177 0.721
Au 0.647 0.823 0.279
Au 0.823 0.177 0.721
Au 0.823 0.647 0.721

Computed properties:
Energy relative to the elements (eV per atom): -0.49
Calculated volume (A^3/atom): 22.4


## CsMg2Pb (PBE-GGA)

Data for crystalline CsMg2Pb at its relaxed geometry.

Lattice parameters (Å, degrees): 10.790 10.790 10.790 146.17 146.17 48.59
Fractional positions:
Cs 0.375 0.625 0.750
Cs 0.625 0.375 0.250
Mg 0.000 0.000 0.000
Mg 0.000 0.000 0.500
Mg 0.000 0.500 0.000
Mg 0.500 0.000 0.500
Pb 0.125 0.875 0.250
Pb 0.875 0.125 0.750

Computed properties:
Energy relative to the elements (eV per atom): 0.14
Calculated volume (A^3/atom): 48.5